# 1
! LiTa3Au, relaxed, DFT GGA-PBE; values from VASP
! Size of the total moment = 0.000 μB/atom
! DFT formation energy = 1.01 eV per atom
! Energy relative to the lowest polymorph listed for this composition = 0 meV/atom
! Uncorrected energy = -35.7 eV/cell
&SYSTEM
  ibrav = 0, nat = 5, ntyp = 3
/
ATOMIC_SPECIES
Ta 180.95 Ta.upf
Li 6.94 Li.upf
Au 196.97 Au.upf
ATOMIC_POSITIONS angstrom
Ta -0.457 1.419 1.616
Ta -0.066 -1.660 1.439
Ta 2.149 0.251 0.388
Li 0.000 0.000 0.000
Au 1.627 0.010 3.443
CELL_PARAMETERS angstrom
-0.131 -3.321 2.879
4.299 0.502 0.775
-0.914 2.838 3.232

# 2
! LiTaAu4, relaxed, DFT GGA-PBE; values from VASP
! Size of the total moment = 0.000 μB/atom
! DFT formation energy = -0.20 eV per atom
! Energy relative to the lowest polymorph listed for this composition = 0 meV/atom
! Uncorrected energy = -28.1 eV/cell
&SYSTEM
  ibrav = 0, nat = 6, ntyp = 3
/
ATOMIC_SPECIES
Au 196.97 Au.upf
Ta 180.95 Ta.upf
Li 6.94 Li.upf
ATOMIC_POSITIONS angstrom
Au -1.819 1.448 1.927
Au -1.299 3.136 5.533
Au -3.800 1.950 6.503
Au -0.234 -0.883 2.735
Ta 0.000 0.000 0.000
Li -2.017 0.533 4.619
CELL_PARAMETERS angstrom
-0.915 -3.517 1.779
2.209 0.348 1.826
-5.328 4.236 5.634

# 3
! LiTaAu, relaxed, DFT GGA-PBE; values from VASP
! Size of the total moment = 0.000 μB/atom
! DFT formation energy = -0.04 eV per atom
! Energy relative to the lowest polymorph listed for this composition = 27 meV/atom
! Uncorrected energy = -34.3 eV/cell
&SYSTEM
  ibrav = 0, nat = 6, ntyp = 3
/
ATOMIC_SPECIES
Li 6.94 Li.upf
Au 196.97 Au.upf
Ta 180.95 Ta.upf
ATOMIC_POSITIONS angstrom
Li -5.310 -1.023 -0.351
Li -6.751 0.976 0.568
Au -2.647 -0.914 -0.080
Au -6.638 -3.437 -0.020
Ta -8.658 -1.387 -0.353
Ta -4.961 -3.521 -2.384
CELL_PARAMETERS angstrom
-1.204 0.304 -2.489
-2.507 -5.133 -0.966
-6.415 1.556 1.721

# 4
! LiTaAu, relaxed, DFT GGA-PBE; values from VASP
! Size of the total moment = 0.000 μB/atom
! DFT formation energy = -0.03 eV per atom
! Energy relative to the lowest polymorph listed for this composition = 37 meV/atom
! Uncorrected energy = -34.3 eV/cell
&SYSTEM
  ibrav = 0, nat = 6, ntyp = 3
/
ATOMIC_SPECIES
Li 6.94 Li.upf
Au 196.97 Au.upf
Ta 180.95 Ta.upf
ATOMIC_POSITIONS angstrom
Li 3.573 0.000 4.194
Li 2.071 0.000 6.661
Au 1.211 1.464 4.547
Au 3.258 1.464 1.887
Ta -0.432 1.464 6.772
Ta 0.780 0.000 2.107
CELL_PARAMETERS angstrom
4.994 0.000 -0.009
0.000 2.928 0.000
-1.060 0.000 6.937